1.
A geometry-optimized Ca3Fe structure, computed with GGA-PBE.

The value obtained for the density of states at the Fermi level is 20.9 states/eV per cell. Its volume is 243.93 Å³ per cell. As for the total energy: -24.952 eV for the cell shown. Its energy of formation from the pure elements is 1.99 eV per formula unit.

The structure belongs to space group I4/mmm (No. 139); the cell edges are 5.0045, 5.0045 and 9.7396 Å and the angles 90.00°, 90.00° and 90.00°. The asymmetric unit holds Ca at (0.0000, 0.0000, 0.0000), Ca at (0.0000, 0.5000, 0.2500) and Fe at (0.0000, 0.0000, 0.5000).

2.
A geometry-optimized Ca2Fe structure, computed with GGA-PBE.

The value obtained for the density of states at the Fermi level is 13.2 states/eV per cell. Its volume is 373.66 Å³ per cell. As for the total energy: -46.551 eV for the cell shown. Its energy of formation from the pure elements is 0.83 eV per formula unit.

The structure belongs to space group Cmcm (No. 63); the cell edges are 14.4302, 6.4365 and 4.0230 Å and the angles 90.00°, 90.00° and 90.00°. The asymmetric unit holds Ca at (0.1340, 0.2497, 0.2500) and Fe at (0.0000, 0.0954, 0.7500).

3.
A geometry-optimized CaFe structure, computed with GGA-PBE.

The value obtained for the density of states at the Fermi level is 8.3 states/eV per cell. Its volume is 206.09 Å³ per cell. As for the total energy: -35.975 eV for the cell shown. Its energy of formation from the pure elements is 1.47 eV per formula unit.

The structure belongs to space group P4_2/mnm (No. 136); the cell edges are 5.9371, 5.9371 and 5.8466 Å and the angles 90.00°, 90.00° and 90.00°. The asymmetric unit holds Ca at (0.1875, 0.1875, 0.0000) and Fe at (0.1297, 0.1297, 0.5000).

4.
A geometry-optimized Ca2Fe structure, computed with GGA-PBE.

The value obtained for the density of states at the Fermi level is 7.6 states/eV per cell. Its volume is 179.60 Å³ per cell. As for the total energy: -21.540 eV for the cell shown. Its energy of formation from the pure elements is 1.70 eV per formula unit.

The structure belongs to space group Pnnm (No. 58); the cell edges are 7.1563, 7.3128 and 3.4320 Å and the angles 90.00°, 90.00° and 90.00°. The asymmetric unit holds Ca at (0.2211, 0.1766, 0.0000) and Fe at (0.0000, 0.5000, 0.0000).

5.
A geometry-optimized CaFe3 structure, computed with GGA-PBE.

The value obtained for the density of states at the Fermi level is 13.4 states/eV per cell. Its volume is 125.87 Å³ per cell. As for the total energy: -49.223 eV for the cell shown. Its energy of formation from the pure elements is 2.78 eV per formula unit.

The structure belongs to space group Pm-3n (No. 223); the cell edges are 5.0115, 5.0115 and 5.0115 Å and the angles 90.00°, 90.00° and 90.00°. The asymmetric unit holds Ca at (0.0000, 0.0000, 0.0000) and Fe at (0.0000, 0.2500, 0.5000).

6.
A geometry-optimized CaFe structure, computed with GGA-PBE.

The value obtained for the density of states at the Fermi level is 14.1 states/eV per cell. Its volume is 288.82 Å³ per cell. As for the total energy: -60.087 eV for the cell shown. Its energy of formation from the pure elements is 0.45 eV per formula unit.

The structure belongs to space group R-3m (No. 166, hexagonal axes); the cell edges are 3.7604, 3.7604 and 23.5840 Å and the angles 90.00°, 90.00° and 120.00°. The asymmetric unit holds Ca at (0.0000, 0.0000, 0.0905) and Fe at (0.0000, 0.0000, 0.3330).